No. 1
Fe after structural relaxation. Source: OQMD via LeMat-Bulk, functional PBE.

The space group is I4/mmm (No. 139) and the conventional cell measures 2.415, 2.415 and 3.920 Å, with angles of 90.00, 90.00 and 90.00 degrees. The asymmetric unit holds Fe at (0.000, 0.000, 0.000).

The calculation puts the total magnetization at 4.70 μB/cell.


No. 2
TcAsPtO after structural relaxation. Source: OQMD via LeMat-Bulk, functional PBE.

The space group is P4/nmm (No. 129, origin choice 2) and the conventional cell measures 3.903, 3.903 and 6.981 Å, with angles of 90.00, 90.00 and 90.00 degrees. The asymmetric unit holds Tc at (0.250, 0.250, 0.163), As at (0.250, 0.250, 0.741), Pt at (0.250, 0.750, 0.500) and O at (0.250, 0.750, 0.000).

The calculation puts the total magnetization at 0.15 μB/cell.


No. 3
TbGd2Cu4Ge4 after structural relaxation. Source: OQMD via LeMat-Bulk, functional PBE.

The space group is Immm (No. 71) and the conventional cell measures 4.229, 6.670 and 14.016 Å, with angles of 90.00, 90.00 and 90.00 degrees. The asymmetric unit holds Tb at (0.000, 0.000, 0.000), Gd at (0.000, 0.500, 0.131), Cu at (0.000, 0.311, 0.331), Ge at (0.000, 0.000, 0.216) and Ge at (0.000, 0.191, 0.500).

The calculation puts the total magnetization at 0.00 μB/cell.


No. 4
SrCuSi2Os after structural relaxation. Source: OQMD via LeMat-Bulk, functional PBE.

The space group is I-4m2 (No. 119) and the conventional cell measures 4.133, 4.133 and 10.442 Å, with angles of 90.00, 90.00 and 90.00 degrees. The asymmetric unit holds Sr at (0.000, 0.000, 0.000), Cu at (0.000, 0.500, 0.250), Si at (0.000, 0.000, 0.369) and Os at (0.000, 0.500, 0.750).

The calculation puts the total magnetization at 0.00 μB/cell.


No. 5
Pr2NdSi4Pd2Pt2 after structural relaxation. Source: OQMD via LeMat-Bulk, functional PBE.

The space group is Immm (No. 71) and the conventional cell measures 4.151, 4.255 and 24.750 Å, with angles of 90.00, 90.00 and 90.00 degrees. The asymmetric unit holds Pr at (0.000, 0.000, 0.146), Nd at (0.000, 0.500, 0.000), Si at (0.000, 0.000, 0.304), Si at (0.000, 0.500, 0.452), Pd at (0.000, 0.000, 0.403) and Pt at (0.000, 0.500, 0.248).

The calculation puts the total magnetization at 0.08 μB/cell.


No. 6
LiPbAu3S4 after structural relaxation. Source: OQMD via LeMat-Bulk, functional PBE.

The space group is P-43m (No. 215) and the conventional cell measures 5.942, 5.942 and 5.942 Å, with angles of 90.00, 90.00 and 90.00 degrees. The asymmetric unit holds Li at (0.000, 0.000, 0.000), Pb at (0.500, 0.500, 0.500), Au at (0.000, 0.500, 0.500) and S at (0.228, 0.228, 0.228).


No. 7
LaInAg2 after structural relaxation. Source: OQMD via LeMat-Bulk, functional PBE.

The space group is P4/mmm (No. 123) and the conventional cell measures 3.760, 3.760 and 6.936 Å, with angles of 90.00, 90.00 and 90.00 degrees. The asymmetric unit holds La at (0.000, 0.000, 0.000), In at (0.000, 0.000, 0.500) and Ag at (0.500, 0.500, 0.275).

The calculation puts the total magnetization at 0.02 μB/cell.


No. 8
Tl2CuAsCl6 after structural relaxation. Source: OQMD via LeMat-Bulk, functional PBE.

The space group is Fm-3m (No. 225) and the conventional cell measures 9.976, 9.976 and 9.976 Å, with angles of 90.00, 90.00 and 90.00 degrees. The asymmetric unit holds Tl at (0.250, 0.250, 0.250), Cu at (0.000, 0.000, 0.000), As at (0.000, 0.000, 0.500) and Cl at (0.000, 0.000, 0.248).


| no. | energy (eV/atom) |
| --- | --- |
| 1 | -8.196 |
| 2 | -6.593 |
| 3 | -4.935 |
| 4 | -5.833 |
| 5 | -6.307 |
| 6 | -3.523 |
| 7 | -3.501 |
| 8 | -3.158 |